[1]
Below is crystalline ZnReTc2 at its relaxed geometry, with properties calculated at the GGA-PBE level.

abc: 4.7118 4.7118 4.7118
angles: 131.11 131.11 71.63
Positions (direct):
Zn (0.0000, 0.0000, 0.0000)
Re (0.5000, 0.5000, 0.0000)
Tc (0.2500, 0.7500, 0.5000)
Tc (0.7500, 0.2500, 0.5000)

## Properties
N(E_F): 3.866 states/eV per cell
energy of formation from the pure elements: 0.199 eV per atom
symmetry: I4/mmm (139)

***

[2]
Below is crystalline Zn2ReTc at its relaxed geometry, with properties calculated at the GGA-PBE level.

abc: 2.6355 4.3840 5.1180
angles: 90.00 100.66 90.00
Positions (direct):
Zn (0.2470, 0.0000, 0.2506)
Zn (0.7530, 0.0000, 0.7494)
Re (0.5000, 0.5000, 0.0000)
Tc (0.0000, 0.5000, 0.5000)

## Properties
N(E_F): 2.520 states/eV per cell
energy of formation from the pure elements: 0.221 eV per atom
symmetry: P2/m (10)
ΔE to the lowest computed polymorph: 193 meV/atom